Record 1
First-principles (PBE) data for a geometry-optimized Be2GeSeF structure, as listed in the Alexandria database.

Unit cell a=4.284 b=4.284 c=5.048 alpha=90.00 beta=90.00 gamma=90.00
Space group P4/mmm (No. 123)
Symmetry-distinct sites (fractional):
Be 0.000 0.500 0.000 [2 per cell]
Ge 0.000 0.000 0.000 [1 per cell]
Se 0.000 0.000 0.500 [1 per cell]
F 0.500 0.500 0.500 [1 per cell]

Results
* raw total energy: -3.0704 eV per atom
* spin magnetization: 0.00 μB/cell
* uncorrected formation energy: 40.0 kJ per mole of atoms
* volume: 93 Å³/cell

---

Record 2
First-principles (PBE) data for a geometry-optimized TiSi2Se structure, as listed in the Alexandria database.

Unit cell a=6.285 b=6.285 c=9.054 alpha=90.00 beta=90.00 gamma=90.00
Space group I-42d (No. 122)
Symmetry-distinct sites (fractional):
Ti 0.000 0.000 0.000 [4 per cell]
Si 0.238 0.250 0.625 [8 per cell]
Se 0.000 0.000 0.500 [4 per cell]

Results
* raw total energy: -5.0921 eV per atom
* spin magnetization: 0.00 μB/cell
* uncorrected formation energy: 44.8 kJ per mole of atoms
* volume: 358 Å³/cell

---

Record 3
First-principles (PBE) data for a geometry-optimized KNaHoF5 structure, as listed in the Alexandria database.

Unit cell a=7.276 b=10.666 c=8.276 alpha=90.00 beta=109.80 gamma=90.00
Space group C2/c (No. 15)
Symmetry-distinct sites (fractional):
K 0.000 0.161 0.250 [4 per cell]
Na 0.000 0.181 0.750 [4 per cell]
Ho 0.000 0.500 0.000 [4 per cell]
F 0.000 0.428 0.250 [4 per cell]
F 0.104 0.316 0.601 [8 per cell]
F 0.197 0.052 0.934 [8 per cell]

Results
* raw total energy: -5.4998 eV per atom
* spin magnetization: 0.77 μB/cell
* uncorrected formation energy: -333.5 kJ per mole of atoms
* volume: 604 Å³/cell

---

Among the records above, which one has the lowest uncorrected formation energy?
KNaHoF5

---

What is the formula in the second record?
TiSi2Se

---

Which value of uncorrected formation energy does entry 1 give?
40.0 kJ per mole of atoms